Record 1
DFT (PBE-GGA) results for a geometry-optimized Tb2CdCuO5 structure.

Values from the calculation:
E_tot, eV/cell: -116.238
DOS at the Fermi energy, states/eV per cell: 3.282
Calculated density, g/cm³: 8.1
Calculated volume, Å³/cell: 235.8

```
data_Tb2CdCuO5
_symmetry_space_group_name_H-M 'P 4/m b m'
_symmetry_Int_Tables_number 127
_symmetry_space_group_name_Hall '-P 4 2ab'
_cell_length_a 6.477
_cell_length_b 6.477
_cell_length_c 5.622
_cell_angle_alpha 90.00
_cell_angle_beta 90.00
_cell_angle_gamma 90.00
loop_
_atom_site_label
_atom_site_type_symbol
_atom_site_fract_x
_atom_site_fract_y
_atom_site_fract_z
Tb1 Tb 0.172 0.328 0.000
Cd1 Cd 0.000 0.000 0.500
Cu1 Cu 0.000 0.500 0.500
O1 O 0.000 0.000 0.000
O2 O 0.143 0.643 0.255
```

Record 2
DFT (PBE-GGA) results for a geometry-optimized K2TiCu structure.

Values from the calculation:
ΔE to the lowest computed polymorph, eV/atom: 0.2748
E_tot, eV/cell: -38.068
DOS at the Fermi energy, states/eV per cell: 43.261
Calculated density, g/cm³: 2.2
ΔH_f (0 K), meV/atom: 1167
Calculated volume, Å³/cell: 574.2

```
data_K2TiCu
_symmetry_space_group_name_H-M 'F m -3 m'
_symmetry_Int_Tables_number 225
_symmetry_space_group_name_Hall '-F 4 2 3'
_cell_length_a 8.311
_cell_length_b 8.311
_cell_length_c 8.311
_cell_angle_alpha 90.00
_cell_angle_beta 90.00
_cell_angle_gamma 90.00
loop_
_atom_site_label
_atom_site_type_symbol
_atom_site_fract_x
_atom_site_fract_y
_atom_site_fract_z
K1 K 0.250 0.250 0.250
Ti1 Ti 0.000 0.000 0.000
Cu1 Cu 0.000 0.000 0.500
```

Record 3
DFT (PBE-GGA) results for a geometry-optimized LiPaAl11 structure.

Values from the calculation:
E_tot, eV/cell: -107.361
DOS at the Fermi energy, states/eV per cell: 13.013
Calculated density, g/cm³: 4.0
ΔH_f (0 K), meV/atom: -85
Calculated volume, Å³/cell: 446.0

```
data_LiPaAl11
_symmetry_space_group_name_H-M 'C 1 2/m 1'
_symmetry_Int_Tables_number 12
_symmetry_space_group_name_Hall '-C 2y'
_cell_length_a 5.363
_cell_length_b 12.701
_cell_length_c 7.016
_cell_angle_alpha 90.00
_cell_angle_beta 111.02
_cell_angle_gamma 90.00
loop_
_atom_site_label
_atom_site_type_symbol
_atom_site_fract_x
_atom_site_fract_y
_atom_site_fract_z
Li1 Li 0.000 0.000 0.000
Pa1 Pa 0.000 0.500 0.500
Al1 Al 0.000 0.500 0.000
Al2 Al 0.103 0.107 0.717
Al3 Al 0.177 0.324 0.854
Al4 Al 0.250 0.250 0.500
```

Record 4
DFT (PBE-GGA) results for a geometry-optimized MnCr structure.

Values from the calculation:
E_tot, eV/cell: -18.300
DOS at the Fermi energy, states/eV per cell: 3.306
Calculated density, g/cm³: 7.8
ΔH_f (0 K), meV/atom: 246
Calculated volume, Å³/cell: 22.8

```
data_MnCr
_symmetry_space_group_name_H-M 'P -6 m 2'
_symmetry_Int_Tables_number 187
_symmetry_space_group_name_Hall 'P -6 2'
_cell_length_a 2.4968
_cell_length_b 2.4968
_cell_length_c 4.2222
_cell_angle_alpha 90.00
_cell_angle_beta 90.00
_cell_angle_gamma 120.00
loop_
_atom_site_label
_atom_site_type_symbol
_atom_site_fract_x
_atom_site_fract_y
_atom_site_fract_z
Mn1 Mn 0.0000 0.0000 0.0000
Cr1 Cr 0.6667 0.3333 0.5000
```

Record 5
DFT (PBE-GGA) results for a geometry-optimized CoRe2W structure.

Values from the calculation:
ΔE to the lowest computed polymorph, eV/atom: 0.1593
E_tot, eV/cell: -132.424
DOS at the Fermi energy, states/eV per cell: 15.378
Calculated density, g/cm³: 17.7
ΔH_f (0 K), meV/atom: 203
Calculated volume, Å³/cell: 173.4

```
data_CoRe2W
_symmetry_space_group_name_H-M 'R 3 m'
_symmetry_Int_Tables_number 160
_symmetry_space_group_name_Hall 'R 3 -2"'
_cell_length_a 2.7472
_cell_length_b 2.7472
_cell_length_c 26.5290
_cell_angle_alpha 90.00
_cell_angle_beta 90.00
_cell_angle_gamma 120.00
loop_
_atom_site_label
_atom_site_type_symbol
_atom_site_fract_x
_atom_site_fract_y
_atom_site_fract_z
Co1 Co 0.0000 0.0000 0.0000
Re1 Re 0.0000 0.0000 0.2531
Re2 Re 0.0000 0.0000 0.5033
W1 W 0.0000 0.0000 0.7463
```

Record 6
DFT (PBE-GGA) results for a geometry-optimized PmTmZr2 structure.

Values from the calculation:
ΔE to the lowest computed polymorph, eV/atom: 0.0059
E_tot, eV/cell: -77.215
DOS at the Fermi energy, states/eV per cell: 17.025
Calculated density, g/cm³: 7.7
ΔH_f (0 K), meV/atom: 145
Calculated volume, Å³/cell: 320.7

```
data_PmTmZr2
_symmetry_space_group_name_H-M 'R -3 m'
_symmetry_Int_Tables_number 166
_symmetry_space_group_name_Hall '-R 3 2"'
_cell_length_a 3.3500
_cell_length_b 3.3500
_cell_length_c 32.9965
_cell_angle_alpha 90.00
_cell_angle_beta 90.00
_cell_angle_gamma 120.00
loop_
_atom_site_label
_atom_site_type_symbol
_atom_site_fract_x
_atom_site_fract_y
_atom_site_fract_z
Pm1 Pm 0.0000 0.0000 0.0000
Tm1 Tm 0.0000 0.0000 0.5000
Zr1 Zr 0.0000 0.0000 0.2488
```

Record 7
DFT (PBE-GGA) results for a geometry-optimized Tb8Sm2Cd structure.

Values from the calculation:
ΔE to the lowest computed polymorph, eV/atom: 0.0075
E_tot, eV/cell: -47.453
DOS at the Fermi energy, states/eV per cell: 14.832
Calculated density, g/cm³: 8.2
ΔH_f (0 K), meV/atom: -5
Calculated volume, Å³/cell: 342.5

```
data_Tb8Sm2Cd
_symmetry_space_group_name_H-M 'P -1'
_symmetry_Int_Tables_number 2
_symmetry_space_group_name_Hall '-P 1'
_cell_length_a 6.122
_cell_length_b 6.130
_cell_length_c 9.321
_cell_angle_alpha 90.03
_cell_angle_beta 96.29
_cell_angle_gamma 99.81
loop_
_atom_site_label
_atom_site_type_symbol
_atom_site_fract_x
_atom_site_fract_y
_atom_site_fract_z
Tb1 Tb 0.046 0.093 0.177
Tb2 Tb 0.232 0.461 0.911
Tb3 Tb 0.311 0.640 0.269
Tb4 Tb 0.412 0.820 0.641
Sm1 Sm 0.135 0.276 0.543
Cd1 Cd 0.500 0.000 0.000
```

The lowest E_tot belongs to which entry? CoRe2W

What is the E_tot in the sixth record? -77.215 eV/cell

What did the fifth record say?
DFT (PBE-GGA) results for a geometry-optimized CoRe2W structure.

Values from the calculation:
ΔE to the lowest computed polymorph, eV/atom: 0.1593
E_tot, eV/cell: -132.424
DOS at the Fermi energy, states/eV per cell: 15.378
Calculated density, g/cm³: 17.7
ΔH_f (0 K), meV/atom: 203
Calculated volume, Å³/cell: 173.4

```
data_CoRe2W
_symmetry_space_group_name_H-M 'R 3 m'
_symmetry_Int_Tables_number 160
_symmetry_space_group_name_Hall 'R 3 -2"'
_cell_length_a 2.7472
_cell_length_b 2.7472
_cell_length_c 26.5290
_cell_angle_alpha 90.00
_cell_angle_beta 90.00
_cell_angle_gamma 120.00
loop_
_atom_site_label
_atom_site_type_symbol
_atom_site_fract_x
_atom_site_fract_y
_atom_site_fract_z
Co1 Co 0.0000 0.0000 0.0000
Re1 Re 0.0000 0.0000 0.2531
Re2 Re 0.0000 0.0000 0.5033
W1 W 0.0000 0.0000 0.7463
```

Which of these has the lowest calculated volume? MnCr